Entry 1:
Material: SmMnSe2ClO6
Method: DFT, PBE with a Hubbard U
State: optimized geometry

Computed properties:
ρ (g/cm3): 4.5
Electronic total energy (eV/atom): -6.278
Calculated volume (A^3/atom): 16.6
Magnetization (μB per cell): 10.00
N(E_F) (states/eV/f.u.): 0.00

abc: 7.0898 7.3792 8.1723
angles: 86.73 108.24 115.59
Closest atoms and distances in Å follow each position.
Fractional positions:
1 O 0.8273 0.8316 0.8985  1 Se 1.73
2 O 0.1824 0.4758 0.6067  1 Se 1.73
3 O 0.9125 0.2755 0.7746  1 Se 1.74
4 O 0.1727 0.1684 0.1015  1 Se 1.73
5 O 0.0875 0.7245 0.2254  1 Se 1.74
6 O 0.8776 0.3154 0.1881  1 Se 1.74
7 O 0.9065 0.8953 0.5967  1 Se 1.73
8 O 0.8176 0.5242 0.3933  1 Se 1.73
9 O 0.0935 0.1047 0.4033  1 Se 1.73
10 O 0.1224 0.6846 0.8119  1 Se 1.74
11 O 0.4503 0.1221 0.3880  1 Se 1.73
12 O 0.5497 0.8779 0.6120  1 Se 1.73
13 Mn 0.1968 0.9027 0.0209  4 O 2.19-2.32
14 Mn 0.8032 0.0973 0.9791  4 O 2.19-2.32
15 Se 0.2976 0.2584 0.3181  3 O 1.73
16 Se 0.1755 0.4745 0.8165  3 O 1.73-1.74
17 Se 0.8245 0.5255 0.1835  3 O 1.73-1.74
18 Se 0.7024 0.7416 0.6819  3 O 1.73
19 Sm 0.1792 0.8300 0.5322  6 O 2.37-2.54
20 Sm 0.8208 0.1700 0.4678  6 O 2.37-2.54
21 Cl 0.5671 0.8570 0.1668  2 Mn 2.65-2.68
22 Cl 0.4329 0.1430 0.8332  2 Mn 2.65-2.68

=====

Entry 2:
Material: YCrP2O
Method: DFT, PBE with a Hubbard U
State: optimized geometry

Computed properties:
ρ (g/cm3): 3.0
Electronic total energy (eV/atom): -5.935
Calculated volume (A^3/atom): 24.3
Magnetization (μB per cell): 3.04
E above lowest polymorph (kJ/mol of formula units): 315
N(E_F) (states/eV/f.u.): 5.83

abc: 5.3920 5.3920 4.1850
angles: 90.00 90.00 90.00
Closest atoms and distances in Å follow each position.
Fractional positions:
1 P 0.0000 0.5000 0.0000  2 Y 2.70
2 P 0.5000 0.0000 0.0000  2 Y 2.70
3 O 0.0000 0.0000 0.5000  2 Y 2.09
4 Cr 0.5000 0.5000 0.5000  8 P 3.41, 4 O 3.81
5 Y 0.0000 0.0000 0.0000  2 O 2.09